RbBaGe2Os, optimized geometry, DFT PBE; DOS at the Fermi energy = 0.518 states/eV/atom; E_form = 0.297 eV/atom
1.0
4.8807 0.0000 0.0000
0.0000 6.0413 0.0000
0.0000 0.0000 4.8807
Os Ge Ba Rb
1 2 1 1
Direct
0.0000 0.0000 0.0000
0.0000 0.0000 0.5000
0.5000 0.0000 0.0000
0.5000 0.5000 0.5000
0.0000 0.5000 0.0000